Entry 1:
## Li2TbReN4 (PBE)

Data for an optimized crystal structure of Li2TbReN4.

Calculated values
electronic total energy = -7.521 eV/atom

Lattice parameters (Å, degrees): 6.895 6.977 7.899 127.60 127.81 60.45
Fractional coordinates of all 16 atoms:
N1 0.787 0.328 0.553
N2 0.288 0.715 0.452
N3 0.809 0.856 0.584
N4 0.186 0.737 0.986
N5 0.349 0.317 0.546
N6 0.640 0.695 0.925
N7 0.778 0.216 0.050
N8 0.185 0.149 0.959
Tb1 0.051 0.550 0.041
Tb2 0.943 0.449 0.458
Li1 0.008 0.996 0.577
Li2 0.432 0.941 0.426
Li3 0.544 0.050 0.009
Li4 0.501 0.492 0.926
Re1 0.991 0.998 0.909
Re2 0.505 0.511 0.600

Entry 2:
## CsScSb2 (PBE)

Data for an optimized crystal structure of CsScSb2.

Calculated values
ΔE to the lowest computed polymorph = 428 meV per atom
electronic total energy = -3.867 eV/atom

Lattice parameters (Å, degrees): 5.619 5.619 5.619 60.00 60.00 60.00
Fractional coordinates of all 4 atoms:
Sb1 0.750 0.750 0.750
Sb2 0.250 0.250 0.250
Sc1 0.000 0.000 0.000
Cs1 0.500 0.500 0.500

Entry 3:
## Pm3TmRh2 (PBE)

Data for an optimized crystal structure of Pm3TmRh2.

Calculated values
formation energy from the elements = -509 meV/atom
electronic total energy = -6.080 eV/atom

Lattice parameters (Å, degrees): 6.806 7.239 8.472 115.29 113.68 90.00
Fractional coordinates of all 12 atoms:
Pm1 0.500 0.250 0.000
Pm2 0.770 0.020 0.540
Pm3 0.770 0.520 0.540
Pm4 0.230 0.480 0.460
Pm5 0.230 0.980 0.460
Pm6 0.500 0.750 0.000
Tm1 0.000 0.000 0.000
Tm2 0.000 0.500 0.000
Rh1 0.148 0.864 0.728
Rh2 0.580 0.364 0.728
Rh3 0.852 0.136 0.272
Rh4 0.420 0.636 0.272

Entry 4:
## Cs3Sn7 (PBE)

Data for an optimized crystal structure of Cs3Sn7.

Calculated values
formation energy from the elements = -128 meV/atom
electronic total energy = -3.186 eV/atom

Lattice parameters (Å, degrees): 6.642 8.145 8.259 90.00 90.00 114.06
Fractional coordinates of all 10 atoms:
Sn1 0.000 0.000 0.500
Sn2 0.500 0.500 0.000
Sn3 0.000 0.500 0.000
Sn4 0.893 0.786 0.190
Sn5 0.107 0.214 0.190
Sn6 0.893 0.786 0.810
Sn7 0.107 0.214 0.810
Cs1 0.333 0.666 0.500
Cs2 0.500 0.000 0.000
Cs3 0.667 0.334 0.500

Entry 5:
## LaNpIn2Se4 (PBE)

Data for an optimized crystal structure of LaNpIn2Se4.

Calculated values
electronic total energy = -5.738 eV/atom

Lattice parameters (Å, degrees): 4.289 8.087 7.459 72.18 90.00 90.00
Each line ends with the local moment (μB).
Fractional coordinates of all 8 atoms:
Se1 0.000 0.715 0.753  -0.02
Se2 0.500 0.291 0.726  -0.06
Se3 0.500 0.709 0.274  -0.06
Se4 0.000 0.285 0.247  -0.02
La1 0.500 0.500 0.000  0.04
Np1 0.000 0.500 0.500  3.89
In1 0.000 0.000 0.000  -0.01
In2 0.500 0.000 0.500  0.00

Entry 6:
## Li4MnW (PBE)

Data for an optimized crystal structure of Li4MnW.

Calculated values
formation energy from the elements = 617 meV/atom
electronic total energy = -4.346 eV/atom

Lattice parameters (Å, degrees): 4.863 4.863 4.863 60.00 60.00 60.00
Each line ends with the local moment (μB).
Fractional coordinates of all 6 atoms:
Li1 0.375 0.375 0.375  0.00
Li2 0.874 0.375 0.375  0.00
Li3 0.375 0.874 0.375  0.00
Li4 0.375 0.375 0.874  0.00
W1 0.000 0.000 0.000  -1.49
Mn1 0.750 0.750 0.750  3.31

Entry 7:
## Nd3Tl (PBE)

Data for an optimized crystal structure of Nd3Tl.

Calculated values
ΔE to the lowest computed polymorph = 151 meV per atom
formation energy from the elements = -53 meV/atom
electronic total energy = -4.221 eV/atom

Lattice parameters (Å, degrees): 5.633 5.633 5.633 60.00 60.00 60.00
Each line ends with the local moment (μB).
Fractional coordinates of all 4 atoms:
Nd1 0.750 0.750 0.750  0.20
Nd2 0.250 0.250 0.250  0.20
Nd3 0.000 0.000 0.000  0.32
Tl1 0.500 0.500 0.500  0.00

Entry 8:
## PmGdPdPt (PBE)

Data for an optimized crystal structure of PmGdPdPt.

Calculated values
formation energy from the elements = -969 meV/atom
electronic total energy = -8.485 eV/atom

Lattice parameters (Å, degrees): 5.039 5.039 5.039 60.00 60.00 60.00
Each line ends with the local moment (μB).
Fractional coordinates of all 4 atoms:
Pt1 0.750 0.750 0.750  0.01
Pd1 0.250 0.250 0.250  0.01
Gd1 0.500 0.500 0.500  7.00
Pm1 0.000 0.000 0.000  0.03

Entry 9:
## La3Sm2HoSb6 (PBE)

Data for an optimized crystal structure of La3Sm2HoSb6.

Calculated values
electronic total energy = -5.673 eV/atom

Lattice parameters (Å, degrees): 7.856 7.856 7.843 99.61 99.61 119.99
Fractional coordinates of all 12 atoms:
Ho1 0.000 0.000 0.000
La1 0.832 0.168 0.500
La2 0.168 0.832 0.500
La3 0.500 0.500 0.500
Sb1 0.591 0.920 0.761
Sb2 0.080 0.409 0.239
Sb3 0.751 0.751 0.241
Sb4 0.249 0.249 0.759
Sb5 0.920 0.591 0.761
Sb6 0.409 0.080 0.239
Sm1 0.666 0.334 0.000
Sm2 0.334 0.666 0.000

Entry 10:
## Mn3Pd2Pt (PBE)

Data for an optimized crystal structure of Mn3Pd2Pt.

Calculated values
formation energy from the elements = -247 meV/atom
electronic total energy = -7.570 eV/atom

Lattice parameters (Å, degrees): 3.186 3.186 9.015 90.00 90.00 90.00
Each line ends with the local moment (μB).
Fractional coordinates of all 6 atoms:
Pt1 0.500 0.500 0.500  0.40
Mn1 0.000 0.000 0.000  3.97
Mn2 0.000 0.000 0.334  3.94
Mn3 0.000 0.000 0.666  3.94
Pd1 0.500 0.500 0.834  0.37
Pd2 0.500 0.500 0.166  0.37

Entry 11:
## RbMg6Mo (PBE)

Data for an optimized crystal structure of RbMg6Mo.

Calculated values
ΔE to the lowest computed polymorph = 45 meV per atom
formation energy from the elements = 438 meV/atom
electronic total energy = -2.232 eV/atom

Lattice parameters (Å, degrees): 6.474 6.474 5.131 90.00 90.00 120.00
Fractional coordinates of all 8 atoms:
Mg1 0.034 0.517 0.000
Mg2 0.824 0.648 0.500
Mg3 0.483 0.517 0.000
Mg4 0.483 0.966 0.000
Mg5 0.824 0.176 0.500
Mg6 0.352 0.176 0.500
Rb1 0.000 0.000 0.000
Mo1 0.333 0.667 0.500

Entry 12:
## KLiI3 (PBE)

Data for an optimized crystal structure of KLiI3.

Calculated values
ΔE to the lowest computed polymorph = 0 meV per atom
electronic total energy = -2.563 eV/atom

Lattice parameters (Å, degrees): 8.401 6.745 9.772 94.75 103.55 122.01
Fractional coordinates of all 10 atoms:
I1 0.167 0.626 0.246
I2 0.075 0.198 0.434
I3 0.925 0.802 0.566
I4 0.298 0.147 0.993
I5 0.702 0.853 0.007
I6 0.833 0.374 0.754
Li1 0.032 0.264 0.997
Li2 0.968 0.736 0.003
K1 0.348 0.802 0.720
K2 0.652 0.198 0.280

no.,density of states at the Fermi level (states/eV per cell)
1,0.0
2,5.7
3,10.1
4,3.2
5,7.1
6,5.2
7,6.0
8,3.4
9,2.1
10,1.5
11,3.6
12,0.0